Record 1
Density functional theory data (GGA-PBE) for a relaxed TlCuMo crystal.

Cell: 6.1133 6.1133 6.1133 Å, 90.00 90.00 90.00°
Closest atoms and distances in Å follow each position.
Space group F-43m (No. 216)
Asymmetric unit:
Tl: 0.0000 0.0000 0.0000 (multiplicity 4)  4 Cu 2.65
Cu: 0.2500 0.2500 0.2500 (multiplicity 4)  4 Tl 2.65, 4 Mo 2.65
Mo: 0.0000 0.0000 0.5000 (multiplicity 4)  4 Cu 2.65

Values from the calculation:
M_tot ... 7.76 Bohr magnetons per cell
Energy relative to the lowest polymorph listed for this composition ... 236 meV/atom
V ... 228 Å³/cell

=====

Record 2
Density functional theory data (GGA-PBE) for a relaxed Ce2Ge4Os3 crystal.

Cell: 5.8790 14.8898 7.4232 Å, 90.00 90.00 90.00°
Closest atoms and distances in Å follow each position.
Space group Cmce (No. 64)
Asymmetric unit:
Ce: 0.0000 0.1137 0.0897 (multiplicity 8)  4 Os 3.03-3.37, 8 Ge 3.04-3.18
Ge: 0.0000 0.1799 0.4766 (multiplicity 8)  5 Os 2.60-2.68
Ge: 0.2500 0.0568 0.7500 (multiplicity 8)  3 Os 2.51-2.54
Os: 0.0000 0.0000 0.5000 (multiplicity 4)  6 Ge 2.51-2.68
Os: 0.2500 0.2274 0.7500 (multiplicity 8)  5 Ge 2.54-2.63

Values from the calculation:
M_tot ... 0.00 Bohr magnetons per cell
Energy relative to the lowest polymorph listed for this composition ... 0 meV/atom
V ... 650 Å³/cell

=====

Record 3
Density functional theory data (GGA-PBE) for a relaxed Sm8Ir5Pd crystal.

Cell: 8.8044 8.8044 8.7800 Å, 90.00 90.00 90.00°
Closest atoms and distances in Å follow each position.
Space group I-4 (No. 82)
Asymmetric unit:
Sm: 0.0639 0.3110 0.0669 (multiplicity 8)  3 Ir 2.84-2.87
Sm: 0.0645 0.1820 0.6884 (multiplicity 8)  2 Ir 2.85-2.86, 1 Pd 2.91
Ir: 0.0000 0.0000 0.0000 (multiplicity 2)  4 Sm 2.86
Ir: 0.1279 0.2484 0.3777 (multiplicity 8)  4 Sm 2.84-2.87
Pd: 0.0000 0.5000 0.7500 (multiplicity 2)  4 Sm 2.91

Values from the calculation:
M_tot ... 0.00 Bohr magnetons per cell
V ... 681 Å³/cell

=====

Looking at energy of formation for the records above, in order, we have 861 -428 -682 meV/atom.